Entry w
The following is a PBE calculation of a relaxed Er2BeGa crystal, from Alexandria.

```
data_Er2BeGa
_chemical_formula_sum 'Er2 Be1 Ga1'
_cell_length_a 3.444
_cell_length_b 3.444
_cell_length_c 6.946
_cell_angle_alpha 90.00
_cell_angle_beta 90.00
_cell_angle_gamma 90.00
_symmetry_space_group_name_H-M 'P 1'
_symmetry_Int_Tables_number 1
loop_
_symmetry_equiv_pos_as_xyz
'x,y,z'
loop_
_atom_site_label
_atom_site_fract_x
_atom_site_fract_y
_atom_site_fract_z
Er1 0.000 0.000 0.765
Be1 0.500 0.500 0.000
Er2 0.000 0.000 0.235
Ga1 0.500 0.500 0.500
```

Computed properties:
DOS at the Fermi energy: 0.565 states/eV/atom
Volume: 82.38 Å³/cell
Space-group type: No. 123
Crystal system: tetragonal
Total magnetization: 0.000 Bohr magnetons per cell



Entry x
The following is a PBE calculation of a relaxed Er2BeGa crystal, from Alexandria.

```
data_Er2BeGa
_chemical_formula_sum 'Er2 Be1 Ga1'
_cell_length_a 3.377
_cell_length_b 3.377
_cell_length_c 10.376
_cell_angle_alpha 80.63
_cell_angle_beta 80.63
_cell_angle_gamma 60.00
_symmetry_space_group_name_H-M 'P 1'
_symmetry_Int_Tables_number 1
loop_
_symmetry_equiv_pos_as_xyz
'x,y,z'
loop_
_atom_site_label
_atom_site_fract_x
_atom_site_fract_y
_atom_site_fract_z
Be1 0.000 0.000 0.000
Er1 0.094 0.094 0.717
Ga1 0.500 0.500 0.500
Er2 0.906 0.906 0.283
```

Computed properties:
DOS at the Fermi energy: 0.669 states/eV/atom
Volume: 100.68 Å³/cell
Space-group type: No. 166
Crystal system: trigonal
Total magnetization: 0.000 Bohr magnetons per cell



Entry y
The following is a PBE calculation of a relaxed Er2BeGa crystal, from Alexandria.

```
data_Er2BeGa
_chemical_formula_sum 'Er2 Be1 Ga1'
_cell_length_a 4.893
_cell_length_b 4.893
_cell_length_c 4.893
_cell_angle_alpha 60.00
_cell_angle_beta 60.00
_cell_angle_gamma 60.00
_symmetry_space_group_name_H-M 'P 1'
_symmetry_Int_Tables_number 1
loop_
_symmetry_equiv_pos_as_xyz
'x,y,z'
loop_
_atom_site_label
_atom_site_fract_x
_atom_site_fract_y
_atom_site_fract_z
Er1 0.250 0.250 0.250
Be1 0.500 0.500 0.500
Er2 0.750 0.750 0.750
Ga1 0.000 0.000 0.000
```

Computed properties:
DOS at the Fermi energy: 0.740 states/eV/atom
Volume: 82.82 Å³/cell
Space-group type: No. 225
Crystal system: cubic
Total magnetization: 0.000 Bohr magnetons per cell



Most stable: entry w. Least stable: entry x.



Entry w
The following is a PBE calculation of a relaxed GdEr2Be crystal, from Alexandria.

```
data_GdEr2Be
_chemical_formula_sum 'Gd1 Er2 Be1'
_cell_length_a 3.435
_cell_length_b 3.435
_cell_length_c 8.613
_cell_angle_alpha 90.00
_cell_angle_beta 90.00
_cell_angle_gamma 90.00
_symmetry_space_group_name_H-M 'P 1'
_symmetry_Int_Tables_number 1
loop_
_symmetry_equiv_pos_as_xyz
'x,y,z'
loop_
_atom_site_label
_atom_site_fract_x
_atom_site_fract_y
_atom_site_fract_z
Gd1 0.500 0.500 0.500
Be1 0.500 0.500 0.000
Er1 0.000 0.000 0.810
Er2 0.000 0.000 0.190
```

Computed properties:
DOS at the Fermi energy: 1.161 states/eV/atom
Volume: 101.63 Å³/cell
Space-group type: No. 123
Crystal system: tetragonal
Total magnetization: 7.621 Bohr magnetons per cell



Entry x
The following is a PBE calculation of a relaxed GdEr2Be crystal, from Alexandria.

```
data_GdEr2Be
_chemical_formula_sum 'Gd1 Er2 Be1'
_cell_length_a 3.412
_cell_length_b 3.412
_cell_length_c 11.488
_cell_angle_alpha 81.46
_cell_angle_beta 81.46
_cell_angle_gamma 60.00
_symmetry_space_group_name_H-M 'P 1'
_symmetry_Int_Tables_number 1
loop_
_symmetry_equiv_pos_as_xyz
'x,y,z'
loop_
_atom_site_label
_atom_site_fract_x
_atom_site_fract_y
_atom_site_fract_z
Er1 0.916 0.916 0.252
Er2 0.084 0.084 0.748
Be1 0.000 0.000 0.000
Gd1 0.500 0.500 0.500
```

Computed properties:
DOS at the Fermi energy: 1.178 states/eV/atom
Volume: 114.09 Å³/cell
Space-group type: No. 166
Crystal system: trigonal
Total magnetization: 6.992 Bohr magnetons per cell



Most stable: entry w. Least stable: entry x.



Entry w
The following is a PBE calculation of a relaxed Er2BeHg crystal, from Alexandria.

```
data_Er2BeHg
_chemical_formula_sum 'Er2 Be1 Hg1'
_cell_length_a 3.469
_cell_length_b 3.469
_cell_length_c 7.326
_cell_angle_alpha 90.00
_cell_angle_beta 90.00
_cell_angle_gamma 90.00
_symmetry_space_group_name_H-M 'P 1'
_symmetry_Int_Tables_number 1
loop_
_symmetry_equiv_pos_as_xyz
'x,y,z'
loop_
_atom_site_label
_atom_site_fract_x
_atom_site_fract_y
_atom_site_fract_z
Hg1 0.500 0.500 0.500
Er1 0.000 0.000 0.779
Be1 0.500 0.500 0.000
Er2 0.000 0.000 0.221
```

Computed properties:
DOS at the Fermi energy: 0.604 states/eV/atom
Volume: 88.15 Å³/cell
Space-group type: No. 123
Crystal system: tetragonal
Total magnetization: 0.000 Bohr magnetons per cell



Entry x
The following is a PBE calculation of a relaxed Er2BeHg crystal, from Alexandria.

```
data_Er2BeHg
_chemical_formula_sum 'Er2 Be1 Hg1'
_cell_length_a 5.046
_cell_length_b 5.046
_cell_length_c 5.046
_cell_angle_alpha 60.00
_cell_angle_beta 60.00
_cell_angle_gamma 60.00
_symmetry_space_group_name_H-M 'P 1'
_symmetry_Int_Tables_number 1
loop_
_symmetry_equiv_pos_as_xyz
'x,y,z'
loop_
_atom_site_label
_atom_site_fract_x
_atom_site_fract_y
_atom_site_fract_z
Er1 0.250 0.250 0.250
Be1 0.500 0.500 0.500
Hg1 0.000 0.000 0.000
Er2 0.750 0.750 0.750
```

Computed properties:
DOS at the Fermi energy: 0.862 states/eV/atom
Volume: 90.86 Å³/cell
Space-group type: No. 225
Crystal system: cubic
Total magnetization: 0.000 Bohr magnetons per cell



Most stable: entry w. Least stable: entry x.